Entry 1:
## Ba3BiPd (PBE)

Data for an optimized crystal structure of Ba3BiPd.

Unit cell a=6.0531 b=6.0531 c=6.0531 alpha=90.00 beta=90.00 gamma=90.00
Closest atoms and distances in Å follow each position.
Element x y z (fractional)
Bi 0.5000 0.5000 0.5000  12 Ba 4.28
Pd 0.0000 0.0000 0.0000  6 Ba 3.03
Ba 0.0000 0.5000 0.0000  2 Pd 3.03
Ba 0.0000 0.0000 0.5000  2 Pd 3.03
Ba 0.5000 0.0000 0.0000  2 Pd 3.03

## Properties
- DFT total energy (eV per atom) = -3.499
- excess energy over the best structure of this formula in the dataset (meV per atom) = 104.8
- energy of formation from the pure elements (eV/atom) = -0.53
- space-group type = Pm-3m, No. 221

---

Entry 2:
## BaBiPd2 (PBE)

Data for an optimized crystal structure of BaBiPd2.

Unit cell a=5.3407 b=5.3407 c=9.9398 alpha=74.42 beta=74.42 gamma=90.00
Closest atoms and distances in Å follow each position.
Element x y z (fractional)
Bi 0.0000 0.0000 0.0000  4 Pd 2.66
Bi 0.7500 0.2500 0.5000  4 Pd 2.66
Pd 0.8548 0.1250 0.2500  2 Bi 2.66, 2 Pd 2.68
Pd 0.8952 0.6250 0.2500  2 Bi 2.66, 2 Pd 2.68
Pd 0.3750 0.1452 0.7500  2 Bi 2.66, 2 Pd 2.68
Pd 0.8750 0.1048 0.7500  2 Bi 2.66, 2 Pd 2.68
Ba 0.5000 0.5000 0.0000  8 Pd 3.69-3.85, 4 Bi 3.78
Ba 0.2500 0.7500 0.5000  8 Pd 3.69-3.85, 4 Bi 3.78

## Properties
- DFT total energy (eV per atom) = -4.479
- energy of formation from the pure elements (eV/atom) = -0.43
- space-group type = I-42d, No. 122

---

Entry 3:
## Ba3Bi2Pd3 (PBE)

Data for an optimized crystal structure of Ba3Bi2Pd3.

Unit cell a=4.9966 b=6.5061 c=16.7386 alpha=90.00 beta=90.00 gamma=112.58
Closest atoms and distances in Å follow each position.
Element x y z (fractional)
Ba 0.9063 0.8126 0.3981  7 Pd 3.45-3.79, 4 Bi 3.51-3.55
Ba 0.0937 0.1874 0.8981  7 Pd 3.45-3.79, 4 Bi 3.51-3.55
Ba 0.9063 0.8126 0.1019  7 Pd 3.45-3.79, 4 Bi 3.51-3.55
Ba 0.0937 0.1874 0.6019  7 Pd 3.45-3.79, 4 Bi 3.51-3.55
Ba 0.6085 0.2169 0.2500  4 Pd 3.32-3.54
Ba 0.3915 0.7831 0.7500  4 Pd 3.32-3.54
Bi 0.7982 0.5964 0.9046  4 Pd 2.80-3.10
Bi 0.2018 0.4036 0.4046  4 Pd 2.80-3.10
Bi 0.7982 0.5964 0.5954  4 Pd 2.80-3.10
Bi 0.2018 0.4036 0.0954  4 Pd 2.80-3.10
Pd 0.6197 0.2394 0.4614  3 Bi 2.85-3.10, 1 Pd 3.15
Pd 0.3803 0.7606 0.9614  3 Bi 2.85-3.10, 1 Pd 3.15
Pd 0.6197 0.2394 0.0386  3 Bi 2.85-3.10, 1 Pd 3.15
Pd 0.3803 0.7606 0.5386  3 Bi 2.85-3.10, 1 Pd 3.15
Pd 0.2903 0.5805 0.2500  2 Bi 2.80
Pd 0.7097 0.4195 0.7500  2 Bi 2.80

## Properties
- DFT total energy (eV per atom) = -4.233
- energy of formation from the pure elements (eV/atom) = -0.59
- space-group type = Cmcm, No. 63